A relaxed MnBiPd6 crystal, computed with PBE.

Computed properties:
ΔE to the lowest computed polymorph = 4.938 kcal/mol of atoms
Formation enthalpy at 0 K = -0.03 eV per atom

Unit cell a=4.7196 b=4.7196 c=7.4540 alpha=74.47 beta=74.47 gamma=69.91
Last column: nearest neighbours and their distance in Å.
Fractional positions:
Mn 0.0000 0.0000 0.0000  6 Pd 2.59-2.61
Bi 0.5000 0.5000 0.5000  8 Pd 2.77-2.79
Pd 0.0667 0.5551 0.2912  1 Mn 2.59, 4 Pd 2.64-2.84, 2 Bi 2.77-2.79
Pd 0.5551 0.0667 0.2912  1 Mn 2.59, 4 Pd 2.64-2.84, 2 Bi 2.77-2.79
Pd 0.4449 0.9333 0.7088  1 Mn 2.59, 4 Pd 2.64-2.84, 2 Bi 2.77-2.79
Pd 0.9333 0.4449 0.7088  1 Mn 2.59, 4 Pd 2.64-2.84, 2 Bi 2.77-2.79
Pd 0.3514 0.3514 0.9426  1 Mn 2.61, 5 Pd 2.70-2.84
Pd 0.6486 0.6486 0.0574  1 Mn 2.61, 5 Pd 2.70-2.84